1.
{"formula": "Tb3Nd2YSe6", "functional": "PBE", "state": "optimized geometry", "lattice": [[-2.918, -1.293, 2.603], [2.037, -7.912, -1.647], [6.741, 2.812, 5.697]], "species": ["Tb", "Tb", "Tb", "Nd", "Nd", "Y", "Se", "Se", "Se", "Se", "Se", "Se"], "frac_coords": [[0.500, 0.500, 0.000], [0.830, 0.166, 0.661], [0.170, 0.834, 0.339], [0.832, 0.664, 0.663], [0.168, 0.336, 0.337], [0.500, 0.000, 0.000], [0.335, 0.926, 0.670], [0.663, 0.590, 0.326], [0.665, 0.074, 0.330], [0.997, 0.248, 0.993], [0.003, 0.752, 0.007], [0.337, 0.410, 0.674]], "energy_ry_per_atom": -0.44297, "density_g_cm3": 7.3}

***

2.
{"formula": "LuZrSe", "functional": "PBE", "state": "optimized geometry", "lattice": [[3.631, 0.000, 0.000], [-1.815, 3.144, 0.000], [0.000, 0.000, 6.242]], "species": ["Lu", "Se", "Zr"], "frac_coords": [[0.333, 0.667, 0.636], [0.667, 0.333, 0.324], [0.000, 0.000, 0.040]], "energy_ry_per_atom": -0.47378, "density_g_cm3": 8.0}

***

3.
{"formula": "Tm6GaPd2", "functional": "PBE", "state": "optimized geometry", "lattice": [[8.358, -0.005, -0.095], [-3.171, 7.733, 0.095], [-2.859, -3.685, 6.936]], "species": ["Tm", "Tm", "Tm", "Tm", "Tm", "Tm", "Tm", "Tm", "Tm", "Tm", "Tm", "Tm", "Ga", "Ga", "Pd", "Pd", "Pd", "Pd"], "frac_coords": [[0.538, 0.718, 0.821], [0.462, 0.282, 0.179], [0.103, 0.282, 0.821], [0.897, 0.718, 0.179], [0.806, 0.761, 0.567], [0.194, 0.239, 0.433], [0.194, 0.761, 0.954], [0.806, 0.239, 0.046], [0.704, 0.374, 0.670], [0.296, 0.626, 0.330], [0.296, 0.967, 0.670], [0.704, 0.033, 0.330], [0.000, 0.500, 0.500], [0.000, 0.000, 0.000], [0.500, 0.365, 0.865], [0.500, 0.635, 0.135], [0.658, 0.000, 0.658], [0.342, 0.000, 0.342]], "formation_enthalpy_0k_ev_per_fu": -5.21, "density_g_cm3": 9.6}

***

4.
{"formula": "NaTmPb", "functional": "PBE", "state": "optimized geometry", "lattice": [[3.450, 0.000, 0.000], [0.000, 3.450, 0.000], [-1.725, -1.725, 7.552]], "species": ["Pb", "Na", "Tm"], "frac_coords": [[0.947, 0.947, 0.893], [0.604, 0.604, 0.209], [0.299, 0.299, 0.598]], "formation_enthalpy_0k_ev_per_fu": -0.20, "density_g_cm3": 7.4}

***

5.
{"formula": "MnNiSbI2", "functional": "PBE", "state": "optimized geometry", "lattice": [[5.298, 0.000, 0.000], [0.000, 5.298, 0.000], [0.000, 0.000, 5.051]], "species": ["I", "I", "Sb", "Mn", "Ni"], "frac_coords": [[0.000, 0.500, 0.000], [0.500, 0.000, 0.000], [0.000, 0.000, 0.500], [0.500, 0.500, 0.500], [0.000, 0.000, 0.000]], "de_polymorph_ev_per_atom": 0.0000, "density_g_cm3": 5.7}

***

6.
{"formula": "CuGeSN2", "functional": "PBE", "state": "optimized geometry", "lattice": [[-1.139, -2.654, 2.123], [2.949, -1.884, -0.773], [2.804, 2.494, 4.622]], "species": ["Ge", "S", "Cu", "N", "N"], "frac_coords": [[0.000, 0.000, 0.000], [0.000, 0.000, 0.500], [0.500, 0.500, 0.500], [0.000, 0.500, 0.000], [0.500, 0.000, 0.000]], "de_polymorph_ev_per_atom": 0.0000, "density_g_cm3": 4.3}

***

7.
{"formula": "AcSi4N7", "functional": "PBE", "state": "optimized geometry", "lattice": [[4.853, 0.000, 0.000], [0.000, 5.204, 0.000], [0.000, 0.000, 11.900]], "species": ["Ac", "Ac", "Si", "Si", "Si", "Si", "Si", "Si", "Si", "Si", "N", "N", "N", "N", "N", "N", "N", "N", "N", "N", "N", "N", "N", "N"], "frac_coords": [[0.601, 0.742, 0.500], [0.101, 0.258, 0.000], [0.584, 0.681, 0.875], [0.079, 0.826, 0.250], [0.579, 0.174, 0.250], [0.084, 0.319, 0.625], [0.084, 0.319, 0.375], [0.584, 0.681, 0.125], [0.079, 0.826, 0.750], [0.579, 0.174, 0.750], [0.941, 0.695, 0.128], [0.441, 0.305, 0.372], [0.498, 0.363, 0.863], [0.998, 0.637, 0.637], [0.998, 0.637, 0.363], [0.498, 0.363, 0.137], [0.436, 0.867, 0.766], [0.936, 0.133, 0.734], [0.936, 0.133, 0.266], [0.436, 0.867, 0.234], [0.478, 0.816, 0.000], [0.978, 0.184, 0.500], [0.941, 0.695, 0.872], [0.441, 0.305, 0.628]], "energy_ry_per_atom": -0.58030, "density_g_cm3": 4.8}

***

8.
{"formula": "Cd2SbBr2", "functional": "PBE", "state": "optimized geometry", "lattice": [[-6.737, 2.836, -4.130], [3.798, -1.621, -7.310], [-1.743, -4.128, 0.009]], "species": ["Sb", "Sb", "Br", "Br", "Br", "Br", "Cd", "Cd", "Cd", "Cd"], "frac_coords": [[0.000, 0.000, 0.000], [0.500, 0.500, 0.000], [0.140, 0.640, 0.500], [0.640, 0.860, 0.500], [0.860, 0.360, 0.500], [0.360, 0.140, 0.500], [0.278, 0.778, 0.000], [0.778, 0.722, 0.000], [0.722, 0.222, 0.000], [0.222, 0.278, 0.000]], "de_polymorph_ev_per_atom": 0.0000, "density_g_cm3": 5.3}

***

9.
{"formula": "Dy2Th3Sc6", "functional": "PBE", "state": "optimized geometry", "lattice": [[-2.859, -4.374, -2.800], [-0.792, -5.225, 2.694], [-10.217, 2.010, 3.083]], "species": ["Dy", "Dy", "Th", "Th", "Th", "Sc", "Sc", "Sc", "Sc", "Sc", "Sc"], "frac_coords": [[0.166, 0.668, 0.500], [0.834, 0.332, 0.500], [0.000, 0.000, 0.000], [0.333, 0.333, 0.000], [0.667, 0.667, 0.000], [0.416, 0.670, 0.753], [0.746, 0.000, 0.753], [0.086, 0.330, 0.753], [0.254, 0.000, 0.247], [0.584, 0.330, 0.247], [0.914, 0.670, 0.247]], "formation_enthalpy_0k_ev_per_fu": 2.33, "density_g_cm3": 6.6}

***

10.
{"formula": "VReI2N", "functional": "PBE", "state": "optimized geometry", "lattice": [[5.588, 0.000, 0.000], [0.000, 5.588, 0.000], [0.000, 0.000, 3.635]], "species": ["I", "I", "Re", "N", "V"], "frac_coords": [[0.000, 0.500, 0.000], [0.500, 0.000, 0.000], [0.500, 0.500, 0.500], [0.000, 0.000, 0.500], [0.000, 0.000, 0.000]], "de_polymorph_ev_per_atom": 0.1087, "density_g_cm3": 7.4}

***

11.
{"formula": "Cs3ErU2O9", "functional": "PBE", "state": "optimized geometry", "lattice": [[6.227, 0.000, 0.000], [-3.114, 5.393, 0.000], [0.000, 0.000, 7.623]], "species": ["Cs", "Cs", "Cs", "Er", "U", "U", "O", "O", "O", "O", "O", "O", "O", "O", "O"], "frac_coords": [[0.333, 0.667, 0.663], [0.000, 0.000, 0.000], [0.667, 0.333, 0.337], [0.000, 0.000, 0.500], [0.333, 0.667, 0.168], [0.667, 0.333, 0.832], [0.824, 0.176, 0.678], [0.824, 0.648, 0.678], [0.352, 0.176, 0.678], [0.648, 0.824, 0.322], [0.176, 0.352, 0.322], [0.176, 0.824, 0.322], [0.500, 0.000, 0.000], [0.000, 0.500, 0.000], [0.500, 0.500, 0.000]], "energy_ry_per_atom": -0.57006, "density_g_cm3": 7.7}

***

12.
{"formula": "SrPd3Ru", "functional": "PBE", "state": "optimized geometry", "lattice": [[5.058, 0.000, 0.000], [0.000, 5.058, 0.000], [0.000, 0.000, 5.058]], "species": ["Ru", "Pd", "Pd", "Pd", "Sr"], "frac_coords": [[0.500, 0.500, 0.500], [0.000, 0.500, 0.000], [0.000, 0.000, 0.500], [0.500, 0.000, 0.000], [0.000, 0.000, 0.000]], "de_polymorph_ev_per_atom": 1.2158, "formation_enthalpy_0k_ev_per_fu": 7.98, "density_g_cm3": 6.5}

***

13.
{"formula": "ThPa2In", "functional": "PBE", "state": "optimized geometry", "lattice": [[-1.246, 3.467, 3.855], [-4.457, -0.670, 2.851], [0.303, -1.477, 5.115]], "species": ["Pa", "Pa", "Th", "In"], "frac_coords": [[0.750, 0.750, 0.750], [0.250, 0.250, 0.250], [0.000, 0.000, 0.000], [0.500, 0.500, 0.500]], "de_polymorph_ev_per_atom": 0.2182, "formation_enthalpy_0k_ev_per_fu": 0.97, "density_g_cm3": 12.5}

***

14.
{"formula": "MgIn2Pd", "functional": "PBE", "state": "optimized geometry", "lattice": [[-0.353, 4.280, -0.500], [-4.213, -0.248, 0.844], [0.807, 0.556, 4.190]], "species": ["Mg", "Pd", "In", "In"], "frac_coords": [[0.500, 0.500, 0.500], [0.500, 0.000, 0.000], [0.000, 0.000, 0.500], [0.000, 0.500, 0.000]], "formation_enthalpy_0k_ev_per_fu": -1.05, "density_g_cm3": 7.5}

***

15.
{"formula": "SrTi2CrTc", "functional": "PBE", "state": "optimized geometry", "lattice": [[-0.514, 3.699, 2.899], [-0.307, -2.853, 3.587], [4.689, 0.207, 0.566]], "species": ["Sr", "Ti", "Ti", "Tc", "Cr"], "frac_coords": [[0.500, 0.500, 0.500], [0.000, 0.000, 0.500], [0.500, 0.000, 0.000], [0.000, 0.500, 0.000], [0.000, 0.000, 0.000]], "formation_enthalpy_0k_ev_per_fu": 2.94, "density_g_cm3": 5.4}

***

16.
{"formula": "AcHg4Pb3", "functional": "PBE", "state": "optimized geometry", "lattice": [[5.194, 0.000, 1.533], [2.371, 4.622, 1.533], [-0.027, -0.016, 9.656]], "species": ["Pb", "Pb", "Pb", "Ac", "Hg", "Hg", "Hg", "Hg"], "frac_coords": [[0.245, 0.245, 0.266], [0.755, 0.755, 0.734], [0.500, 0.500, 0.500], [0.000, 0.000, 0.000], [0.874, 0.874, 0.378], [0.380, 0.380, 0.861], [0.126, 0.126, 0.622], [0.620, 0.620, 0.139]], "formation_enthalpy_0k_ev_per_fu": -1.50, "density_g_cm3": 11.8}

***

17.
{"formula": "LiMgPb3", "functional": "PBE", "state": "optimized geometry", "lattice": [[-1.874, -5.352, -1.805], [2.085, -3.286, 7.578], [-7.031, 3.555, -3.239]], "species": ["Li", "Li", "Mg", "Mg", "Pb", "Pb", "Pb", "Pb", "Pb", "Pb"], "frac_coords": [[0.250, 0.317, 0.683], [0.750, 0.683, 0.317], [0.000, 0.000, 0.000], [0.500, 0.000, 0.000], [0.250, 0.824, 0.176], [0.750, 0.176, 0.824], [0.250, 0.880, 0.603], [0.750, 0.120, 0.397], [0.250, 0.397, 0.120], [0.750, 0.603, 0.880]], "de_polymorph_ev_per_atom": 0.1298, "formation_enthalpy_0k_ev_per_fu": 0.07, "density_g_cm3": 7.0}

***

18.
{"formula": "AcGdZnBi", "functional": "PBE", "state": "optimized geometry", "lattice": [[-3.278, 3.105, -3.254], [-4.608, 2.314, 2.092], [-0.253, 5.508, 0.752]], "species": ["Zn", "Ac", "Gd", "Bi"], "frac_coords": [[0.000, 0.000, 0.000], [0.250, 0.250, 0.250], [0.750, 0.750, 0.750], [0.500, 0.500, 0.500]], "formation_enthalpy_0k_ev_per_fu": -1.67, "density_g_cm3": 9.0}

***

19.
{"formula": "Pm3GaO6", "functional": "PBE", "state": "optimized geometry", "lattice": [[5.581, 0.000, 0.000], [0.000, 7.382, 0.007], [0.000, -1.641, 7.198]], "species": ["Pm", "Pm", "Pm", "Pm", "Pm", "Pm", "Ga", "Ga", "O", "O", "O", "O", "O", "O", "O", "O", "O", "O", "O", "O"], "frac_coords": [[0.476, 0.914, 0.701], [0.976, 0.701, 0.914], [0.431, 0.397, 0.603], [0.931, 0.603, 0.397], [0.976, 0.086, 0.299], [0.476, 0.299, 0.086], [0.010, 0.192, 0.808], [0.510, 0.808, 0.192], [0.206, 0.673, 0.646], [0.706, 0.646, 0.673], [0.180, 0.417, 0.894], [0.680, 0.894, 0.417], [0.144, 0.041, 0.959], [0.679, 0.215, 0.785], [0.179, 0.785, 0.215], [0.644, 0.959, 0.041], [0.180, 0.106, 0.583], [0.680, 0.583, 0.106], [0.206, 0.354, 0.327], [0.706, 0.327, 0.354]], "energy_ry_per_atom": -0.57118, "density_g_cm3": 6.7}

***

20.
{"formula": "LaTb2Ho3Se6", "functional": "PBE", "state": "optimized geometry", "lattice": [[7.113, -0.018, -0.004], [-3.571, 6.152, -0.004], [-1.186, -2.053, 6.752]], "species": ["La", "Tb", "Tb", "Ho", "Ho", "Ho", "Se", "Se", "Se", "Se", "Se", "Se"], "frac_coords": [[0.000, 0.000, 0.000], [0.333, 0.667, 0.000], [0.667, 0.333, 0.000], [0.162, 0.838, 0.500], [0.838, 0.162, 0.500], [0.500, 0.500, 0.500], [0.913, 0.570, 0.739], [0.742, 0.742, 0.256], [0.087, 0.430, 0.261], [0.570, 0.913, 0.739], [0.258, 0.258, 0.744], [0.430, 0.087, 0.261]], "energy_ry_per_atom": -0.43023, "density_g_cm3": 8.0}